# 1
Below is a relaxed LiPtAuSeS2 crystal, with properties calculated at the GGA-PBE level.

## Properties
Space-group type ... Cmcm
Energy ... -4.21 eV per atom

a b c (Å): 6.8873 6.8873 9.9630
angles (deg): 90.00 90.00 149.88
Fractional coordinates of all 12 atoms:
S  0.3794  0.6206  0.5183
S  0.6206  0.3794  0.4817
S  0.6206  0.3794  0.0183
S  0.3794  0.6206  0.9817
Pt  0.0000  0.0000  0.5000
Pt  0.0000  0.0000  0.0000
Se  0.0627  0.9373  0.7500
Se  0.9373  0.0627  0.2500
Au  0.6415  0.3585  0.2500
Au  0.3585  0.6415  0.7500
Li  0.7016  0.2984  0.7500
Li  0.2984  0.7016  0.2500

# 2
Below is a relaxed LiTePtAuS2 crystal, with properties calculated at the GGA-PBE level.

## Properties
Space-group type ... Cmcm
Energy ... -4.13 eV per atom

a b c (Å): 7.2223 7.2223 10.6219
angles (deg): 90.00 90.00 152.04
Fractional coordinates of all 12 atoms:
Te  0.5666  0.4334  0.2500
Te  0.4334  0.5666  0.7500
Au  0.1311  0.8689  0.7500
Au  0.8689  0.1311  0.2500
S  0.1159  0.8841  0.9711
S  0.1159  0.8841  0.5289
S  0.8841  0.1159  0.0289
S  0.8841  0.1159  0.4711
Pt  0.5000  0.5000  0.5000
Pt  0.5000  0.5000  0.0000
Li  0.7762  0.2238  0.7500
Li  0.2238  0.7762  0.2500

# 3
Below is a relaxed Li4Sb2PtAu crystal, with properties calculated at the GGA-PBE level.

## Properties
Space-group type ... P-4m2
Energy ... -3.77 eV per atom

a b c (Å): 4.5445 4.5445 6.4294
angles (deg): 90.00 90.00 90.00
Fractional coordinates of all 8 atoms:
Pt  0.0000  0.0000  0.5000
Au  0.5000  0.5000  0.0000
Sb  0.5000  0.0000  0.2621
Sb  0.0000  0.5000  0.7379
Li  0.0000  0.5000  0.2538
Li  0.5000  0.0000  0.7462
Li  0.5000  0.5000  0.5000
Li  0.0000  0.0000  0.0000

# 4
Below is a relaxed LiScPtAu crystal, with properties calculated at the GGA-PBE level.

## Properties
Space-group type ... F-43m
Energy ... -4.98 eV per atom

a b c (Å): 4.5730 4.5730 4.5730
angles (deg): 60.00 60.00 60.00
Fractional coordinates of all 4 atoms:
Pt  0.5000  0.5000  0.5000
Li  0.7500  0.7500  0.7500
Au  0.2500  0.2500  0.2500
Sc  0.0000  0.0000  0.0000